# 1
DFT (PBE) results for a relaxed NbGeAu2 crystal.

## Properties
The value obtained for the energy of formation is 0.323 eV/atom. Its density of states at the Fermi level is 0.5861 states/eV per atom. For the total energy, the calculation gives -4.9874 eV per atom. Its space group is No. 166.

Lattice parameters (Å, degrees): 10.746 10.746 10.746 15.40 15.40 15.40
Fractional positions:
Nb: 0.000 0.000 0.000
Ge: 0.500 0.500 0.500
Au: 0.087 0.087 0.087
Au: 0.913 0.913 0.913

# 2
DFT (PBE) results for a relaxed BaCoAsBr2 crystal.

## Properties
Its density of states at the Fermi level is 2.4214 states/eV per atom. For the total energy, the calculation gives -3.0764 eV per atom. The calculation puts the uncorrected formation energy at 328.3 meV per atom. Its space group is No. 123.

Lattice parameters (Å, degrees): 6.216 6.216 6.759 90.00 90.00 90.00
Fractional positions:
Ba: 0.000 0.000 0.000
Co: 0.500 0.500 0.500
As: 0.000 0.000 0.500
Br: 0.000 0.500 0.000
Br: 0.500 0.000 0.000

# 3
DFT (PBE) results for a relaxed Ba2MgCd12Ag3 crystal.

## Properties
The value obtained for the energy of formation is 0.107 eV/atom. Its density of states at the Fermi level is 0.3894 states/eV per atom. For the total energy, the calculation gives -1.2800 eV per atom. Its space group is No. 166.

Lattice parameters (Å, degrees): 9.031 9.031 9.031 64.36 64.36 64.36
Fractional positions:
Ba: 0.101 0.101 0.101
Ba: 0.899 0.899 0.899
Mg: 0.500 0.500 0.500
Cd: 0.142 0.630 0.630
Cd: 0.156 0.156 0.506
Cd: 0.156 0.506 0.156
Cd: 0.370 0.370 0.858
Cd: 0.370 0.858 0.370
Cd: 0.494 0.844 0.844
Cd: 0.506 0.156 0.156
Cd: 0.630 0.142 0.630
Cd: 0.630 0.630 0.142
Cd: 0.844 0.494 0.844
Cd: 0.844 0.844 0.494
Cd: 0.858 0.370 0.370
Ag: 0.000 0.500 0.500
Ag: 0.500 0.000 0.500
Ag: 0.500 0.500 0.000

# 4
DFT (PBE) results for a relaxed CeSmPt crystal.

## Properties
The value obtained for the energy of formation is -0.628 eV/atom. Its density of states at the Fermi level is 3.0715 states/eV per atom. For the total energy, the calculation gives -6.1924 eV per atom. Its space group is No. 216.

Lattice parameters (Å, degrees): 4.962 4.962 4.962 60.00 60.00 60.00
Fractional positions:
Ce: 0.000 0.000 0.000
Sm: 0.500 0.500 0.500
Pt: 0.250 0.250 0.250

# 5
DFT (PBE) results for a relaxed K2Np2GaS6 crystal.

## Properties
Its density of states at the Fermi level is 1.2381 states/eV per atom. For the total energy, the calculation gives -6.2339 eV per atom. The calculation puts the uncorrected formation energy at -1155.0 meV per atom. Its space group is No. 12.

Lattice parameters (Å, degrees): 6.849 6.849 7.796 98.19 98.19 120.07
Fractional positions:
K: 0.165 0.835 0.000
K: 0.835 0.165 0.000
Np: 0.333 0.667 0.500
Np: 0.667 0.333 0.500
Ga: 0.000 0.000 0.500
S: 0.061 0.389 0.690
S: 0.251 0.251 0.317
S: 0.389 0.061 0.690
S: 0.611 0.939 0.310
S: 0.749 0.749 0.683
S: 0.939 0.611 0.310

# 6
DFT (PBE) results for a relaxed TcAgSb crystal.

## Properties
Its density of states at the Fermi level is 1.3446 states/eV per atom. For the total energy, the calculation gives -5.3591 eV per atom. The calculation puts the uncorrected formation energy at 420.8 meV per atom. Its space group is No. 216.

Lattice parameters (Å, degrees): 4.450 4.450 4.450 60.00 60.00 60.00
Fractional positions:
Tc: 0.000 0.000 0.000
Ag: 0.250 0.250 0.250
Sb: 0.750 0.750 0.750

# 7
DFT (PBE) results for a relaxed Pm11Nd4Er9 crystal.

## Properties
The value obtained for the energy of formation is 0.063 eV/atom. Its density of states at the Fermi level is 1.2547 states/eV per atom. For the total energy, the calculation gives -4.6202 eV per atom. Its space group is No. 65.

Lattice parameters (Å, degrees): 15.294 15.294 3.711 90.00 90.00 112.94
Fractional positions:
Pm: 0.000 0.000 0.000
Pm: 0.045 0.407 0.000
Pm: 0.160 0.840 0.000
Pm: 0.289 0.289 0.000
Pm: 0.366 0.634 0.000
Pm: 0.407 0.045 0.000
Pm: 0.593 0.955 0.000
Pm: 0.634 0.366 0.000
Pm: 0.711 0.711 0.000
Pm: 0.840 0.160 0.000
Pm: 0.955 0.593 0.000
Nd: 0.244 0.445 0.500
Nd: 0.445 0.244 0.500
Nd: 0.555 0.756 0.500
Nd: 0.756 0.555 0.500
Er: 0.065 0.211 0.500
Er: 0.163 0.634 0.500
Er: 0.211 0.065 0.500
Er: 0.366 0.837 0.500
Er: 0.500 0.500 0.500
Er: 0.634 0.163 0.500
Er: 0.789 0.935 0.500
Er: 0.837 0.366 0.500
Er: 0.935 0.789 0.500

# 8
DFT (PBE) results for a relaxed YZrRe2 crystal.

## Properties
The value obtained for the energy of formation is 0.248 eV/atom. Its density of states at the Fermi level is 0.8753 states/eV per atom. For the total energy, the calculation gives -9.7290 eV per atom. Its space group is No. 65.

Lattice parameters (Å, degrees): 2.941 2.941 9.274 90.00 90.00 111.23
Fractional positions:
Y: 0.000 0.000 0.000
Zr: 0.000 0.000 0.500
Re: 0.500 0.500 0.261
Re: 0.500 0.500 0.739

# 9
DFT (PBE) results for a relaxed FeAs3 crystal.

## Properties
The value obtained for the energy of formation is 0.120 eV/atom. Its density of states at the Fermi level is 0.4788 states/eV per atom. For the total energy, the calculation gives -5.4831 eV per atom. Its space group is No. 12.

Lattice parameters (Å, degrees): 3.129 3.129 8.819 98.61 98.61 57.74
Fractional positions:
Fe: 0.000 0.000 0.000
As: 0.381 0.381 0.186
As: 0.500 0.500 0.500
As: 0.619 0.619 0.814

# 10
DFT (PBE) results for a relaxed Pm5Tl2Ga2 crystal.

## Properties
The value obtained for the energy of formation is -0.430 eV/atom. Its density of states at the Fermi level is 0.8115 states/eV per atom. For the total energy, the calculation gives -4.2673 eV per atom. Its space group is No. 64.

Lattice parameters (Å, degrees): 9.204 9.204 7.890 90.00 90.00 51.54
Fractional positions:
Pm: 0.000 0.000 0.000
Pm: 0.059 0.680 0.678
Pm: 0.180 0.559 0.178
Pm: 0.320 0.941 0.678
Pm: 0.441 0.820 0.178
Pm: 0.500 0.500 0.500
Pm: 0.559 0.180 0.822
Pm: 0.680 0.059 0.322
Pm: 0.820 0.441 0.822
Pm: 0.941 0.320 0.322
Tl: 0.221 0.221 0.000
Tl: 0.279 0.279 0.500
Tl: 0.721 0.721 0.500
Tl: 0.779 0.779 0.000
Ga: 0.114 0.886 0.384
Ga: 0.386 0.614 0.884
Ga: 0.614 0.386 0.116
Ga: 0.886 0.114 0.616

# 11
DFT (PBE) results for a relaxed SrHf2Te2 crystal.

## Properties
Its density of states at the Fermi level is 0.3750 states/eV per atom. For the total energy, the calculation gives -6.2542 eV per atom. The calculation puts the uncorrected formation energy at -679.8 meV per atom. Its space group is No. 139.

Lattice parameters (Å, degrees): 8.552 8.552 8.552 151.73 151.73 40.41
Fractional positions:
Sr: 0.000 0.000 0.000
Hf: 0.250 0.750 0.500
Hf: 0.750 0.250 0.500
Te: 0.385 0.385 0.000
Te: 0.615 0.615 0.000

# 12
DFT (PBE) results for a relaxed SiTeMo4 crystal.

## Properties
Its density of states at the Fermi level is 0.7404 states/eV per atom. For the total energy, the calculation gives -8.0864 eV per atom. The calculation puts the uncorrected formation energy at 561.8 meV per atom. Its space group is No. 216.

Lattice parameters (Å, degrees): 5.299 5.299 5.299 60.00 60.00 60.00
Fractional positions:
Si: 0.000 0.000 0.000
Te: 0.750 0.750 0.750
Mo: 0.375 0.375 0.375
Mo: 0.375 0.375 0.875
Mo: 0.375 0.875 0.375
Mo: 0.875 0.375 0.375

# 13
DFT (PBE) results for a relaxed Ag4SnSe4 crystal.

## Properties
Its density of states at the Fermi level is 0.1544 states/eV per atom. For the total energy, the calculation gives -3.4108 eV per atom. The calculation puts the uncorrected formation energy at -150.2 meV per atom. Its space group is No. 63.

Lattice parameters (Å, degrees): 7.383 7.383 8.898 90.00 90.00 80.22
Fractional positions:
Ag: 0.086 0.634 0.750
Ag: 0.178 0.178 0.000
Ag: 0.178 0.178 0.500
Ag: 0.366 0.914 0.750
Ag: 0.634 0.086 0.250
Ag: 0.822 0.822 0.000
Ag: 0.822 0.822 0.500
Ag: 0.914 0.366 0.250
Sn: 0.351 0.649 0.250
Sn: 0.649 0.351 0.750
Se: 0.193 0.807 0.011
Se: 0.193 0.807 0.489
Se: 0.302 0.307 0.250
Se: 0.307 0.302 0.750
Se: 0.693 0.698 0.250
Se: 0.698 0.693 0.750
Se: 0.807 0.193 0.511
Se: 0.807 0.193 0.989

# 14
DFT (PBE) results for a relaxed Cd2ReOs2 crystal.

## Properties
The value obtained for the energy of formation is 1.333 eV/atom. Its density of states at the Fermi level is 1.2047 states/eV per atom. For the total energy, the calculation gives -6.0150 eV per atom. Its space group is No. 127.

Lattice parameters (Å, degrees): 8.009 8.009 2.711 90.00 90.00 90.00
Fractional positions:
Cd: 0.120 0.380 0.000
Cd: 0.380 0.880 0.000
Cd: 0.620 0.120 0.000
Cd: 0.880 0.620 0.000
Re: 0.000 0.000 0.000
Re: 0.500 0.500 0.000
Os: 0.181 0.681 0.500
Os: 0.319 0.181 0.500
Os: 0.681 0.819 0.500
Os: 0.819 0.319 0.500

# 15
DFT (PBE) results for a relaxed In2PbBr crystal.

## Properties
Its density of states at the Fermi level is 0.5417 states/eV per atom. For the total energy, the calculation gives -2.8570 eV per atom. The calculation puts the uncorrected formation energy at -142.4 meV per atom. Its space group is No. 166.

Lattice parameters (Å, degrees): 10.068 10.068 10.068 21.55 21.55 21.55
Fractional positions:
In: 0.245 0.245 0.245
In: 0.755 0.755 0.755
Pb: 0.000 0.000 0.000
Br: 0.500 0.500 0.500

# 16
DFT (PBE) results for a relaxed Ce2Nd4Ge3O2 crystal.

## Properties
Its density of states at the Fermi level is 1.1978 states/eV per atom. For the total energy, the calculation gives -6.4126 eV per atom. The calculation puts the uncorrected formation energy at -1439.2 meV per atom. Its space group is No. 139.

Lattice parameters (Å, degrees): 12.726 12.726 12.726 158.57 158.57 30.49
Fractional positions:
Ce: 0.198 0.198 0.000
Ce: 0.802 0.802 0.000
Nd: 0.080 0.580 0.500
Nd: 0.420 0.920 0.500
Nd: 0.580 0.080 0.500
Nd: 0.920 0.420 0.500
Ge: 0.325 0.325 0.000
Ge: 0.500 0.500 0.000
Ge: 0.675 0.675 0.000
O: 0.104 0.104 0.000
O: 0.896 0.896 0.000

# 17
DFT (PBE) results for a relaxed CrP2Ir crystal.

## Properties
The value obtained for the energy of formation is -0.332 eV/atom. Its density of states at the Fermi level is 0.4602 states/eV per atom. For the total energy, the calculation gives -7.6582 eV per atom. Its space group is No. 8.

Lattice parameters (Å, degrees): 4.188 4.188 4.725 103.75 103.75 42.00
Fractional positions:
Cr: 0.000 0.000 0.000
P: 0.474 0.474 0.371
P: 0.714 0.714 0.978
Ir: 0.225 0.225 0.582

# 18
DFT (PBE) results for a relaxed Li3Pr2Ga4 crystal.

## Properties
The value obtained for the energy of formation is -0.386 eV/atom. Its density of states at the Fermi level is 0.4630 states/eV per atom. For the total energy, the calculation gives -3.4313 eV per atom. Its space group is No. 64.

Lattice parameters (Å, degrees): 8.695 8.695 7.781 90.00 90.00 140.77
Fractional positions:
Li: 0.000 0.000 0.000
Li: 0.017 0.483 0.250
Li: 0.483 0.017 0.750
Li: 0.500 0.500 0.500
Li: 0.517 0.983 0.250
Li: 0.983 0.517 0.750
Pr: 0.102 0.898 0.397
Pr: 0.398 0.602 0.897
Pr: 0.602 0.398 0.103
Pr: 0.898 0.102 0.603
Ga: 0.162 0.838 0.001
Ga: 0.178 0.322 0.250
Ga: 0.322 0.178 0.750
Ga: 0.338 0.662 0.501
Ga: 0.662 0.338 0.499
Ga: 0.678 0.822 0.250
Ga: 0.822 0.678 0.750
Ga: 0.838 0.162 0.999

# 19
DFT (PBE) results for a relaxed CaZrCr crystal.

## Properties
The value obtained for the energy of formation is 0.440 eV/atom. Its density of states at the Fermi level is 1.2461 states/eV per atom. For the total energy, the calculation gives -6.2847 eV per atom. Its space group is No. 107.

Lattice parameters (Å, degrees): 6.522 6.522 6.522 149.53 149.53 43.64
Fractional positions:
Ca: 0.000 0.000 0.000
Zr: 0.721 0.721 0.000
Cr: 0.325 0.325 0.000

# 20
DFT (PBE) results for a relaxed PuTa2Rh3 crystal.

## Properties
The value obtained for the energy of formation is -0.407 eV/atom. Its density of states at the Fermi level is 1.6357 states/eV per atom. For the total energy, the calculation gives -10.4221 eV per atom. Its space group is No. 123.

Lattice parameters (Å, degrees): 2.959 2.959 11.714 90.00 90.00 90.00
Fractional positions:
Pu: 0.000 0.000 0.000
Ta: 0.000 0.000 0.340
Ta: 0.000 0.000 0.660
Rh: 0.500 0.500 0.190
Rh: 0.500 0.500 0.500
Rh: 0.500 0.500 0.810